Here is a relaxed Sc2AlGa2 crystal from Alexandria via LeMat-Bulk. Energies are from PBE.

Output
Crystal system   tetragonal
DOS at the Fermi energy   0.50 states/eV per atom
Energy above the lowest structure with this stoichiometry   360 meV/atom
Formation enthalpy at 0 K   -0.234 eV per atom
VASP energy   -47.3 eV per cell
Total magnetization   0.00 Bohr magnetons per cell

The structure in CIF format:
```
data_Sc2AlGa2
_cell_length_a 7.684
_cell_length_b 7.684
_cell_length_c 3.454
_cell_angle_alpha 90.00
_cell_angle_beta 90.00
_cell_angle_gamma 90.00
_space_group_name_H-M_alt 'P 4/m b m'
_space_group_IT_number 127
_space_group_name_Hall '-P 4 2ab'
loop_
_atom_site_label
_atom_site_type_symbol
_atom_site_fract_x
_atom_site_fract_y
_atom_site_fract_z
Sc1 Sc 0.169 0.331 0.000
Al1 Al 0.000 0.000 0.000
Ga1 Ga 0.133 0.633 0.500
```